DFT (GGA-PBE) results for an optimized crystal structure of BeAg2B.

Properties
Raw total energy = -3.079 eV per atom
Space group = F-43m (216)

a = 4.227 Å, b = 4.227 Å, c = 4.227 Å
α = 60.00°, β = 60.00°, γ = 60.00°
Element x y z (fractional)
Be 0.000 0.000 0.000
Ag 0.250 0.250 0.250
Ag 0.500 0.500 0.500
B 0.750 0.750 0.750

DFT (GGA-PBE) results for an optimized crystal structure of DyCuAu4.

Properties
Raw total energy = -3.875 eV per atom
Space group = F-43m (216)
M_tot = 0.002 μB per formula unit
Offset from the most stable computed form = 0.43 eV/f.u.

a = 5.504 Å, b = 5.504 Å, c = 5.504 Å
α = 60.00°, β = 60.00°, γ = 60.00°
Element x y z (fractional)
Dy 0.000 0.000 0.000
Cu 0.250 0.250 0.250
Au 0.126 0.625 0.625
Au 0.625 0.126 0.625
Au 0.625 0.625 0.126
Au 0.625 0.625 0.625

DFT (GGA-PBE) results for an optimized crystal structure of Li2HgPt.

Properties
Raw total energy = -2.968 eV per atom
Space group = F-43m (216)
M_tot = 0.002 μB per formula unit

a = 4.514 Å, b = 4.514 Å, c = 4.514 Å
α = 60.00°, β = 60.00°, γ = 60.00°
Element x y z (fractional)
Li 0.000 0.000 0.000
Li 0.250 0.250 0.250
Hg 0.750 0.750 0.750
Pt 0.500 0.500 0.500

> Which formula does entry 1 have?

BeAg2B

> Which value of raw total energy does entry 2 give?

-3.875 eV per atom

> The highest raw total energy belongs to which entry?

Li2HgPt

What did the third record say?
DFT (GGA-PBE) results for an optimized crystal structure of Li2HgPt.

Properties
Raw total energy = -2.968 eV per atom
Space group = F-43m (216)
M_tot = 0.002 μB per formula unit

a = 4.514 Å, b = 4.514 Å, c = 4.514 Å
α = 60.00°, β = 60.00°, γ = 60.00°
Element x y z (fractional)
Li 0.000 0.000 0.000
Li 0.250 0.250 0.250
Hg 0.750 0.750 0.750
Pt 0.500 0.500 0.500